# 1
Density functional theory data (PBE) for a relaxed structure of TbCePb2.

The value obtained for the total magnetization is 1.77 Bohr magnetons per cell. The energy is -4.919 eV/atom. The formation energy comes out at -0.424 eV per atom.

The structure belongs to space group Amm2 (No. 38); the cell edges are 4.529, 4.588 and 11.865 Å and the angles 90.00°, 90.00° and 90.00°. The distinct sites, in fractional coordinates, are Tb at (0.000, 0.000, 0.000), Ce at (0.500, 0.000, 0.260), Pb at (0.000, 0.000, 0.729) and Pb at (0.500, 0.000, 0.530).


# 2
Density functional theory data (PBE) for a relaxed structure of TbCePb2.

The value obtained for the total magnetization is 1.54 Bohr magnetons per cell. The energy is -4.918 eV/atom. The formation energy comes out at -0.422 eV per atom.

The structure belongs to space group P4/mmm (No. 123); the cell edges are 5.081, 5.081 and 4.509 Å and the angles 90.00°, 90.00° and 90.00°. The distinct sites, in fractional coordinates, are Tb at (0.000, 0.000, 0.000), Ce at (0.500, 0.500, 0.000) and Pb at (0.000, 0.500, 0.500).


# 3
Density functional theory data (PBE) for a relaxed structure of Tb2CePb.

Its offset from the most stable computed form is 101 meV/atom. The value obtained for the total magnetization is 1.23 Bohr magnetons per cell. The energy is -4.888 eV/atom. The formation energy comes out at -0.162 eV per atom.

The structure belongs to space group P4/mmm (No. 123); the cell edges are 4.064, 4.064 and 7.112 Å and the angles 90.00°, 90.00° and 90.00°. The distinct sites, in fractional coordinates, are Tb at (0.000, 0.000, 0.230), Ce at (0.500, 0.500, 0.500) and Pb at (0.500, 0.500, 0.000).


# 4
Density functional theory data (PBE) for a relaxed structure of TbCe3Pb2.

The value obtained for the total magnetization is 6.08 Bohr magnetons per cell. The energy is -5.262 eV/atom. The formation energy comes out at -0.287 eV per atom.

The structure belongs to space group C2/m (No. 12); the cell edges are 18.532, 4.271 and 9.384 Å and the angles 90.00°, 110.05° and 90.00°. The distinct sites, in fractional coordinates, are Tb at (0.104, 0.000, 0.128), Ce at (0.066, 0.000, 0.619), Ce at (0.125, 0.500, 0.490), Ce at (0.205, 0.500, 0.927), Pb at (0.022, 0.500, 0.841) and Pb at (0.241, 0.500, 0.292).


# 5
Density functional theory data (PBE) for a relaxed structure of Tb2CePb.

Its offset from the most stable computed form is 0 meV/atom. The value obtained for the total magnetization is 0.44 Bohr magnetons per cell. The energy is -4.989 eV/atom. The formation energy comes out at -0.263 eV per atom.

The structure belongs to space group P4/mmm (No. 123); the cell edges are 4.946, 4.946 and 4.686 Å and the angles 90.00°, 90.00° and 90.00°. The distinct sites, in fractional coordinates, are Tb at (0.000, 0.500, 0.000), Ce at (0.000, 0.000, 0.500) and Pb at (0.500, 0.500, 0.500).


# 6
Density functional theory data (PBE) for a relaxed structure of TbCePb2.

The value obtained for the total magnetization is 1.45 Bohr magnetons per cell. The energy is -4.919 eV/atom. The formation energy comes out at -0.424 eV per atom.

The structure belongs to space group P4/mmm (No. 123); the cell edges are 3.579, 3.579 and 9.074 Å and the angles 90.00°, 90.00° and 90.00°. The distinct sites, in fractional coordinates, are Tb at (0.000, 0.000, 0.000), Ce at (0.000, 0.000, 0.500) and Pb at (0.500, 0.500, 0.244).